DFT (PBE) results for a relaxed CsTePbI crystal.

Cell lengths 4.9635, 4.9635, 29.7416 Å; angles 90.00, 90.00, 120.00 degrees
Space group R3m (No. 160, hexagonal axes)
Symmetry-distinct sites (fractional):
Cs 0.0000 0.0000 0.0000 (multiplicity 3)
Te 0.0000 0.0000 0.7644 (multiplicity 3)
Pb 0.0000 0.0000 0.1450 (multiplicity 3)
I 0.0000 0.0000 0.2542 (multiplicity 3)

Output
E_form (uncorrected) in eV/f.u.: -3.2
Uncorrected energy in eV/cell: -37.33
Density in g/cm3: 4.67

***

DFT (PBE) results for a relaxed CsTePbI2 crystal.

Cell lengths 6.769, 6.769, 6.249 Å; angles 90.00, 90.00, 90.00 degrees
Space group P4/mmm (No. 123)
Symmetry-distinct sites (fractional):
Cs 0.000 0.000 0.000 (multiplicity 1)
Te 0.000 0.000 0.500 (multiplicity 1)
Pb 0.500 0.500 0.500 (multiplicity 1)
I 0.000 0.500 0.000 (multiplicity 2)

Output
E_form (uncorrected) in eV/f.u.: 1.3
E above lowest polymorph in meV per atom: 929
Uncorrected energy in eV/cell: -9.52
Density in g/cm3: 4.18

***

DFT (PBE) results for a relaxed CsTePbI2 crystal.

Cell lengths 6.426, 6.426, 6.061 Å; angles 90.00, 90.00, 90.00 degrees
Space group P4/mmm (No. 123)
Symmetry-distinct sites (fractional):
Cs 0.000 0.000 0.000 (multiplicity 1)
Te 0.500 0.500 0.000 (multiplicity 1)
Pb 0.500 0.500 0.500 (multiplicity 1)
I 0.000 0.500 0.500 (multiplicity 2)

Output
E_form (uncorrected) in eV/f.u.: -3.4
E above lowest polymorph in meV per atom: 0
Uncorrected energy in eV/cell: -14.17
Density in g/cm3: 4.79

***

DFT (PBE) results for a relaxed Cs2TePbI6 crystal.

Cell lengths 8.806, 8.806, 12.994 Å; angles 90.00, 90.00, 90.00 degrees
Space group I4/mmm (No. 139)
Symmetry-distinct sites (fractional):
Cs 0.000 0.500 0.250 (multiplicity 4)
Te 0.000 0.000 0.000 (multiplicity 2)
Pb 0.000 0.000 0.500 (multiplicity 2)
I 0.000 0.000 0.257 (multiplicity 4)
I 0.246 0.246 0.000 (multiplicity 8)

Output
E_form (uncorrected) in eV/f.u.: -7.6
Uncorrected energy in eV/cell: -50.91
Density in g/cm3: 4.49

***

DFT (PBE) results for a relaxed CsTiPbI6 crystal.

Cell lengths 7.986, 13.856, 8.400 Å; angles 90.00, 90.18, 90.00 degrees
Space group C2 (No. 5)
Symmetry-distinct sites (fractional):
Cs 0.000 0.000 0.000 (multiplicity 2)
Ti 0.000 0.333 0.500 (multiplicity 2)
Pb 0.000 0.667 0.500 (multiplicity 2)
I 0.129 0.481 0.700 (multiplicity 4)
I 0.157 0.195 0.700 (multiplicity 4)
I 0.214 0.825 0.699 (multiplicity 4)

Output
E_form (uncorrected) in eV/f.u.: -7.9
Uncorrected energy in eV/cell: -59.31
Density in g/cm3: 4.11

***

DFT (PBE) results for a relaxed Cs3TlPb2I9 crystal.

Cell lengths 8.9846, 8.9846, 11.0401 Å; angles 90.00, 90.00, 120.00 degrees
Space group P-3m1 (No. 164)
Symmetry-distinct sites (fractional):
Cs 0.0000 0.0000 0.0000 (multiplicity 1)
Cs 0.3333 0.6667 0.6783 (multiplicity 2)
Tl 0.0000 0.0000 0.5000 (multiplicity 1)
Pb 0.3333 0.6667 0.1715 (multiplicity 2)
I 0.0000 0.5000 0.0000 (multiplicity 3)
I 0.1658 0.3316 0.3290 (multiplicity 6)

Output
E_form (uncorrected) in eV/f.u.: -14.1
Uncorrected energy in eV/cell: -40.38
Density in g/cm3: 4.65

***

DFT (PBE) results for a relaxed Cs2TlPbI5 crystal.

Cell lengths 6.239, 6.239, 13.218 Å; angles 90.00, 90.00, 90.00 degrees
Space group P4/mmm (No. 123)
Symmetry-distinct sites (fractional):
Cs 0.000 0.000 0.215 (multiplicity 2)
Tl 0.500 0.500 0.500 (multiplicity 1)
Pb 0.500 0.500 0.000 (multiplicity 1)
I 0.000 0.000 0.500 (multiplicity 1)
I 0.000 0.500 0.000 (multiplicity 2)
I 0.500 0.500 0.246 (multiplicity 2)

Output
E_form (uncorrected) in eV/f.u.: -9.0
Uncorrected energy in eV/cell: -24.53
Density in g/cm3: 4.23

***

DFT (PBE) results for a relaxed Cs3Tl3PbI8 crystal.

Cell lengths 10.2562, 10.2562, 26.7597 Å; angles 90.00, 90.00, 120.00 degrees
Space group R-3m (No. 166, hexagonal axes)
Symmetry-distinct sites (fractional):
Cs 0.0000 0.5000 0.0000 (multiplicity 9)
Tl 0.0000 0.5000 0.5000 (multiplicity 9)
Pb 0.0000 0.0000 0.5000 (multiplicity 3)
I 0.0000 0.0000 0.2416 (multiplicity 6)
I 0.0260 0.5130 0.2359 (multiplicity 18)

Output
E_form (uncorrected) in eV/f.u.: -15.2
Uncorrected energy in eV/cell: -122.91
Density in g/cm3: 4.57